Record 1
The following is a DFT calculation (GGA-PBE) of Ba3Sb2O6 after structural relaxation.

Cell: 9.9616 12.3408 6.2861 Å, 89.60 108.46 105.14°
Last column: nearest neighbours and their distance in Å.
Atoms (fractional coordinates):
Ba 0.0000 0.5000 0.0000  6 O 2.64-2.70
Ba 0.7206 0.7104 0.8756  6 O 2.72-2.86
Ba 0.2794 0.2896 0.1244  6 O 2.72-2.86
Ba 0.0385 0.7027 0.5205  3 O 2.60-2.76
Ba 0.9615 0.2973 0.4795  3 O 2.60-2.76
Ba 0.3993 0.7026 0.1862  4 O 2.59-2.84
Ba 0.6007 0.2974 0.8138  4 O 2.59-2.84
Ba 0.7868 0.9364 0.3996  5 O 2.66-2.88
Ba 0.2132 0.0636 0.6004  5 O 2.66-2.88
O 0.9482 0.8401 0.7451  1 Sb 1.98
O 0.0518 0.1599 0.2549  1 Sb 1.98
O 0.9564 0.8577 0.2237  1 Sb 1.98
O 0.0436 0.1423 0.7763  1 Sb 1.98
O 0.1152 0.7197 0.0896  1 Sb 1.98
O 0.8848 0.2803 0.9104  1 Sb 1.98
O 0.5659 0.8221 0.5575  1 Sb 1.99
O 0.4341 0.1779 0.4425  1 Sb 1.99
O 0.5759 0.8415 0.0165  1 Sb 1.98
O 0.4241 0.1585 0.9835  1 Sb 1.98
O 0.2915 0.8544 0.6597  1 Sb 1.97
O 0.7085 0.1456 0.3403  1 Sb 1.97
O 0.2502 0.4846 0.3168  1 Sb 1.98
O 0.7498 0.5154 0.6832  1 Sb 1.98
O 0.3309 0.3545 0.7258  1 Sb 1.95
O 0.6691 0.6455 0.2742  1 Sb 1.95
O 0.1575 0.5196 0.7205  1 Sb 1.98
O 0.8425 0.4804 0.2795  1 Sb 1.98
Sb 0.0948 0.8750 0.0511  3 O 1.98
Sb 0.9052 0.1250 0.9489  3 O 1.98
Sb 0.5061 0.9188 0.7434  3 O 1.97-1.99
Sb 0.4939 0.0812 0.2566  3 O 1.97-1.99
Sb 0.3332 0.5085 0.6495  3 O 1.95-1.98
Sb 0.6668 0.4915 0.3505  3 O 1.95-1.98

Values from the calculation:
magnetization: 0.000 μB per atom
uncorrected formation energy: -24.10 eV per formula unit
crystal system: triclinic
SG: P-1, No. 2


Record 2
The following is a DFT calculation (GGA-PBE) of BaSbO2 after structural relaxation.

Cell: 7.4868 7.4868 7.4868 Å, 28.47 28.47 28.47°
Last column: nearest neighbours and their distance in Å.
Atoms (fractional coordinates):
Sb 0.5000 0.5000 0.5000  6 O 2.39
Ba 0.0000 0.0000 0.0000  2 O 2.51
O 0.8836 0.8836 0.8836  3 Sb 2.39, 1 Ba 2.51
O 0.1164 0.1164 0.1164  3 Sb 2.39, 1 Ba 2.51

Values from the calculation:
magnetization: 0.000 μB per atom
uncorrected formation energy: -4.15 eV per formula unit
crystal system: trigonal
SG: R-3m, No. 166


Record 3
The following is a DFT calculation (GGA-PBE) of Ba4Sb6O19 after structural relaxation.

Cell: 8.3817 8.3817 8.3817 Å, 109.47 109.47 109.47°
Last column: nearest neighbours and their distance in Å.
Atoms (fractional coordinates):
Ba 0.0000 0.0000 0.6965  4 O 2.54-2.80
Ba 0.0000 0.6965 0.0000  4 O 2.54-2.80
Ba 0.3035 0.3035 0.3035  4 O 2.54-2.80
Ba 0.6965 0.0000 0.0000  4 O 2.54-2.80
Sb 0.3407 0.5000 0.8407  6 O 1.99-2.04
Sb 0.6593 0.5000 0.1593  6 O 1.99-2.04
Sb 0.1593 0.6593 0.5000  6 O 1.99-2.04
Sb 0.8407 0.3407 0.5000  6 O 1.99-2.04
Sb 0.5000 0.8407 0.3407  6 O 1.99-2.04
Sb 0.5000 0.1593 0.6593  6 O 1.99-2.04
O 0.6374 0.0000 0.6374  2 Sb 2.04
O 0.3626 0.0000 0.3626  2 Sb 2.04
O 0.3626 0.3626 0.0000  2 Sb 2.04
O 0.6374 0.6374 0.0000  2 Sb 2.04
O 0.0000 0.6374 0.6374  2 Sb 2.04
O 0.0000 0.3626 0.3626  2 Sb 2.04
O 0.0000 0.0000 0.0000  4 Ba 2.54
O 0.3237 0.2720 0.6314  2 Sb 1.99-2.04
O 0.6763 0.3077 0.9483  2 Sb 1.99-2.04
O 0.6407 0.6923 0.3686  2 Sb 1.99-2.04
O 0.9483 0.6763 0.3077  2 Sb 1.99-2.04
O 0.3593 0.7280 0.0517  2 Sb 1.99-2.04
O 0.6314 0.3237 0.2720  2 Sb 1.99-2.04
O 0.0517 0.3593 0.7280  2 Sb 1.99-2.04
O 0.3686 0.6407 0.6923  2 Sb 1.99-2.04
O 0.7280 0.0517 0.3593  2 Sb 1.99-2.04
O 0.3077 0.9483 0.6763  2 Sb 1.99-2.04
O 0.2720 0.6314 0.3237  2 Sb 1.99-2.04
O 0.6923 0.3686 0.6407  2 Sb 1.99-2.04

Values from the calculation:
magnetization: 0.005 μB per atom
uncorrected formation energy: -56.45 eV per formula unit
crystal system: cubic
SG: I23, No. 197


Record 4
The following is a DFT calculation (GGA-PBE) of Ba3SbO5 after structural relaxation.

Cell: 7.5010 7.5010 8.2574 Å, 117.01 117.01 90.00°
Last column: nearest neighbours and their distance in Å.
Atoms (fractional coordinates):
Ba 0.6836 0.1836 0.0000  4 O 2.62-2.74
Ba 0.3164 0.8164 0.0000  4 O 2.62-2.74
Ba 0.8164 0.6836 0.0000  4 O 2.62-2.74
Ba 0.1836 0.3164 0.0000  4 O 2.62-2.74
Ba 0.2500 0.2500 0.5000  10 O 3.13-3.16
Ba 0.7500 0.7500 0.5000  10 O 3.13-3.16
Sb 0.7500 0.2500 0.5000  4 O 2.00
Sb 0.2500 0.7500 0.5000  4 O 2.00
O 0.9962 0.4962 0.6985  1 Sb 2.00
O 0.7023 0.2023 0.6985  1 Sb 2.00
O 0.2023 0.9962 0.6985  1 Sb 2.00
O 0.4962 0.7023 0.6985  1 Sb 2.00
O 0.0038 0.5038 0.3015  1 Sb 2.00
O 0.2977 0.7977 0.3015  1 Sb 2.00
O 0.7977 0.0038 0.3015  1 Sb 2.00
O 0.5038 0.2977 0.3015  1 Sb 2.00
O 0.5000 0.5000 0.0000  4 Ba 2.74
O 0.0000 0.0000 0.0000  4 Ba 2.74

Values from the calculation:
magnetization: 0.091 μB per atom
uncorrected formation energy: -19.13 eV per formula unit
crystal system: tetragonal
SG: I4/mcm, No. 140


Record 5
The following is a DFT calculation (GGA-PBE) of Ba12Sb5O2 after structural relaxation.

Cell: 8.6363 10.5238 10.7108 Å, 104.86 90.00 114.23°
Last column: nearest neighbours and their distance in Å.
Atoms (fractional coordinates):
Ba 0.9980 0.9959 0.1690  2 O 2.94
Ba 0.0868 0.6810 0.9182  1 O 2.94
Ba 0.5941 0.6810 0.9182  1 O 2.94
Ba 0.0976 0.6998 0.4269  4 Sb 3.50-3.63
Ba 0.6022 0.6998 0.4269  4 Sb 3.50-3.63
Ba 0.4978 0.9956 0.8212  2 O 2.77
Ba 0.5022 0.0044 0.1788  2 O 2.77
Ba 0.9024 0.3002 0.5731  4 Sb 3.50-3.63
Ba 0.3978 0.3002 0.5731  4 Sb 3.50-3.63
Ba 0.9132 0.3190 0.0818  1 O 2.94
Ba 0.4059 0.3190 0.0818  1 O 2.94
Ba 0.0020 0.0041 0.8310  2 O 2.94
Sb 0.3096 0.6192 0.6542  7 Ba 3.49-3.63
Sb 0.3183 0.6367 0.1596  7 Ba 3.48-3.62
Sb 0.0000 0.0000 0.5000  6 Ba 3.50-3.53
Sb 0.6817 0.3633 0.8404  7 Ba 3.48-3.62
Sb 0.6904 0.3808 0.3458  7 Ba 3.49-3.63
O 0.7329 0.0000 0.0000  6 Ba 2.77-2.94
O 0.2671 0.0000 0.0000  6 Ba 2.77-2.94

Values from the calculation:
magnetization: 0.234 μB per atom
uncorrected formation energy: -21.11 eV per formula unit
crystal system: monoclinic
SG: C2/m, No. 12


Record 6
The following is a DFT calculation (GGA-PBE) of Ba7Sb4O after structural relaxation.

Cell: 5.7834 10.4268 9.5921 Å, 78.07 72.45 73.90°
Last column: nearest neighbours and their distance in Å.
Atoms (fractional coordinates):
Ba 0.7892 0.8578 0.5637  4 Sb 3.37-3.67
Ba 0.2108 0.1422 0.4363  4 Sb 3.37-3.67
Ba 0.0678 0.7607 0.1036  1 O 2.46
Ba 0.9322 0.2393 0.8964  1 O 2.46
Ba 0.3591 0.5342 0.7475  4 Sb 3.51-3.59
Ba 0.5000 0.0000 0.0000  2 O 2.89
Ba 0.6409 0.4658 0.2525  4 Sb 3.51-3.59
Sb 0.5818 0.2122 0.6242  7 Ba 3.48-3.85
Sb 0.4182 0.7878 0.3758  7 Ba 3.48-3.85
Sb 0.7213 0.6629 0.8946  7 Ba 3.37-3.67
Sb 0.2787 0.3371 0.1054  7 Ba 3.37-3.67
O 0.0000 0.0000 0.0000  2 Ba 2.46

Values from the calculation:
magnetization: 0.000 μB per atom
uncorrected formation energy: -14.78 eV per formula unit
crystal system: monoclinic
SG: C2/m, No. 12